Below is a geometry-optimized LiAcMnGe2 structure, with properties calculated at the PBE level.

Calculated values
E_form in eV per atom: -0.481
ρ in g/cm3: 6.96
Crystal system: tetragonal

Cell lengths 4.393, 4.393, 10.738 Å; angles 90.00, 90.00, 90.00 degrees
Space group I-4m2 (No. 119)
Symmetry-distinct sites (fractional):
1 Li 0.000 0.000 0.000 x2
2 Ac 0.000 0.500 0.250 x2
3 Mn 0.000 0.000 0.500 x2
4 Ge 0.000 0.500 0.625 x4